A geometry-optimized CdInCl2 structure. Source: Alexandria, functional PBE.

Values from the calculation:
uncorrected energy: -0.1722 Ry per atom
total magnetization: 0.000 μB/atom

```
4
Lattice="0.000 3.734 3.734 3.734 0.000 3.734 3.734 3.734 0.000" Properties=species:S:1:pos:R:3 pbc="T T T"
Cd 0.000 0.000 0.000
In 3.734 3.734 3.734
Cl 1.867 1.867 1.867
Cl 5.601 5.601 5.601
```